Entry 1:
Zr2MnCr | PBE | relaxed

Values from the calculation:
- Relative energy among the computed polymorphs: 0.358 eV/atom
- Calculated total energy: -0.629 Ry per atom
- Formation energy: 0.42 eV/atom

The structure in CIF format:
```
data_Zr2MnCr
_chemical_formula_sum 'Zr6 Mn3 Cr3'
_cell_length_a 3.1586
_cell_length_b 3.1586
_cell_length_c 24.8206
_cell_angle_alpha 90.00
_cell_angle_beta 90.00
_cell_angle_gamma 120.00
_space_group_name_H-M_alt 'R -3 m'
_space_group_IT_number 166
_space_group_name_Hall '-R 3 2"'
loop_
_atom_site_label
_atom_site_fract_x
_atom_site_fract_y
_atom_site_fract_z
Zr1 0.0000 0.0000 0.2443
Mn1 0.0000 0.0000 0.5000
Cr1 0.0000 0.0000 0.0000
```

Entry 2:
Ca2TaAl2 | PBE | relaxed

Values from the calculation:
- Relative energy among the computed polymorphs: 0.317 eV/atom
- Calculated total energy: -0.302 Ry per atom
- Formation energy: 0.56 eV/atom

The structure in CIF format:
```
data_Ca2TaAl2
_chemical_formula_sum 'Ca4 Ta2 Al4'
_cell_length_a 8.697
_cell_length_b 8.697
_cell_length_c 3.036
_cell_angle_alpha 90.00
_cell_angle_beta 90.00
_cell_angle_gamma 90.00
_space_group_name_H-M_alt 'P 4/m b m'
_space_group_IT_number 127
_space_group_name_Hall '-P 4 2ab'
loop_
_atom_site_label
_atom_site_fract_x
_atom_site_fract_y
_atom_site_fract_z
Ca1 0.125 0.375 0.000
Ta1 0.000 0.000 0.000
Al1 0.174 0.674 0.500
```

Entry 3:
Tb5ErSc2 | PBE | relaxed

Values from the calculation:
- Relative energy among the computed polymorphs: 0.000 eV/atom
- Calculated total energy: -0.369 Ry per atom
- Formation energy: 0.03 eV/atom

The structure in CIF format:
```
data_Tb5ErSc2
_chemical_formula_sum 'Tb20 Er4 Sc8'
_cell_length_a 7.108
_cell_length_b 11.069
_cell_length_c 12.270
_cell_angle_alpha 90.00
_cell_angle_beta 90.00
_cell_angle_gamma 90.00
_space_group_name_H-M_alt 'F m m 2'
_space_group_IT_number 42
_space_group_name_Hall 'F 2 -2'
loop_
_atom_site_label
_atom_site_fract_x
_atom_site_fract_y
_atom_site_fract_z
Tb1 0.000 0.000 0.000
Tb2 0.250 0.000 0.254
Tb3 0.250 0.250 0.084
Er1 0.000 0.000 0.501
Sc1 0.000 0.249 0.337
```

Entry 4:
Zr2BeIn2 | PBE | relaxed

Values from the calculation:
- Relative energy among the computed polymorphs: 0.106 eV/atom
- Calculated total energy: -0.378 Ry per atom
- Formation energy: 0.12 eV/atom

The structure in CIF format:
```
data_Zr2BeIn2
_chemical_formula_sum 'Zr4 Be2 In4'
_cell_length_a 6.885
_cell_length_b 6.885
_cell_length_c 4.655
_cell_angle_alpha 90.00
_cell_angle_beta 90.00
_cell_angle_gamma 90.00
_space_group_name_H-M_alt 'P 4/m b m'
_space_group_IT_number 127
_space_group_name_Hall '-P 4 2ab'
loop_
_atom_site_label
_atom_site_fract_x
_atom_site_fract_y
_atom_site_fract_z
Zr1 0.158 0.342 0.000
Be1 0.000 0.000 0.000
In1 0.156 0.656 0.500
```

Entry 5:
MgPaGa2 | PBE | relaxed

Values from the calculation:
- Calculated total energy: -0.330 Ry per atom
- Formation energy: -0.20 eV/atom

The structure in CIF format:
```
data_MgPaGa2
_chemical_formula_sum 'Mg1 Pa1 Ga2'
_cell_length_a 3.301
_cell_length_b 3.301
_cell_length_c 7.383
_cell_angle_alpha 90.00
_cell_angle_beta 90.00
_cell_angle_gamma 90.00
_space_group_name_H-M_alt 'P 4/m m m'
_space_group_IT_number 123
_space_group_name_Hall '-P 4 2'
loop_
_atom_site_label
_atom_site_fract_x
_atom_site_fract_y
_atom_site_fract_z
Mg1 0.000 0.000 0.000
Pa1 0.000 0.000 0.500
Ga1 0.500 0.500 0.225
```

Entry 6:
CaTc | PBE | relaxed

Values from the calculation:
- Relative energy among the computed polymorphs: 0.291 eV/atom
- Calculated total energy: -0.417 Ry per atom
- Formation energy: 0.50 eV/atom

The structure in CIF format:
```
data_CaTc
_chemical_formula_sum 'Ca16 Tc16'
_cell_length_a 5.627
_cell_length_b 8.844
_cell_length_c 14.295
_cell_angle_alpha 90.00
_cell_angle_beta 90.00
_cell_angle_gamma 90.00
_space_group_name_H-M_alt 'F d d d'
_space_group_IT_number 70
loop_
_space_group_symop_operation_xyz
'x,y,z'
'-x,-y,-z'
'-x+1/4,-y+1/4,z'
'x+1/4,y+1/4,-z'
'x,-y+1/4,-z+1/4'
'-x,y+1/4,z+1/4'
'-x+1/4,y,-z+1/4'
'x+1/4,-y,z+1/4'
'x,y+1/2,z+1/2'
'-x,-y+1/2,-z+1/2'
'-x+1/4,-y+3/4,z+1/2'
'x+1/4,y+3/4,-z+1/2'
'x,-y+3/4,-z+3/4'
'-x,y+3/4,z+3/4'
'-x+1/4,y+1/2,-z+3/4'
'x+1/4,-y+1/2,z+3/4'
'x+1/2,y,z+1/2'
'-x+1/2,-y,-z+1/2'
'-x+3/4,-y+1/4,z+1/2'
'x+3/4,y+1/4,-z+1/2'
'x+1/2,-y+1/4,-z+3/4'
'-x+1/2,y+1/4,z+3/4'
'-x+3/4,y,-z+3/4'
'x+3/4,-y,z+3/4'
'x+1/2,y+1/2,z'
'-x+1/2,-y+1/2,-z'
'-x+3/4,-y+3/4,z'
'x+3/4,y+3/4,-z'
'x+1/2,-y+3/4,-z+1/4'
'-x+1/2,y+3/4,z+1/4'
'-x+3/4,y+1/2,-z+1/4'
'x+3/4,-y+1/2,z+1/4'
loop_
_atom_site_label
_atom_site_fract_x
_atom_site_fract_y
_atom_site_fract_z
Ca1 0.125 0.288 0.125
Tc1 0.125 0.125 0.545
```

Entry 7:
La2SiAu | PBE | relaxed

Values from the calculation:
- Calculated total energy: -0.379 Ry per atom
- Energy relative to the elements, uncorrected: -2.089 eV per formula unit

The structure in CIF format:
```
data_La2SiAu
_chemical_formula_sum 'La6 Si3 Au3'
_cell_length_a 4.4458
_cell_length_b 4.4458
_cell_length_c 18.7943
_cell_angle_alpha 90.00
_cell_angle_beta 90.00
_cell_angle_gamma 120.00
_space_group_name_H-M_alt 'R 3 m'
_space_group_IT_number 160
_space_group_name_Hall 'R 3 -2"'
loop_
_atom_site_label
_atom_site_fract_x
_atom_site_fract_y
_atom_site_fract_z
La1 0.0000 0.0000 0.0000
La2 0.0000 0.0000 0.2036
Si1 0.0000 0.0000 0.4203
Au1 0.0000 0.0000 0.7801
```

Entry 8:
Rb3CrS3 | PBE | relaxed

Values from the calculation:
- Calculated total energy: -0.333 Ry per atom
- Energy relative to the elements, uncorrected: -6.801 eV per formula unit

The structure in CIF format:
```
data_Rb3CrS3
_chemical_formula_sum 'Rb12 Cr4 S12'
_cell_length_a 9.085
_cell_length_b 7.912
_cell_length_c 12.904
_cell_angle_alpha 90.00
_cell_angle_beta 97.86
_cell_angle_gamma 90.00
_space_group_name_H-M_alt 'P 1 21/c 1'
_space_group_IT_number 14
loop_
_space_group_symop_operation_xyz
'x,y,z'
'-x,-y,-z'
'-x,y+1/2,-z+1/2'
'x,-y+1/2,z+1/2'
loop_
_atom_site_label
_atom_site_fract_x
_atom_site_fract_y
_atom_site_fract_z
Rb1 0.075 0.141 0.135
Rb2 0.325 0.718 0.792
Rb3 0.393 0.227 0.924
Cr1 0.154 0.573 0.046
S1 0.071 0.060 0.389
S2 0.244 0.663 0.525
S3 0.341 0.062 0.648
```